PuBeNi2O6 | Alexandria | PBE+U | relaxed; energy = -6.60 eV/atom; symmetry = P4mm
1.0
-2.9455 1.0039 -2.8999
-2.7834 -4.3871 1.3085
-2.6821 2.8037 3.6948
O Be Pu Ni
6 1 1 2
Cartesian
-3.2525 -0.6146 1.9900
-4.8559 1.8487 1.0180
-4.9096 -1.9666 -0.2481
-0.6670 0.2273 -0.6567
-6.3327 -0.4790 1.7123
-3.4328 0.3611 -0.9423
-1.7197 0.5861 -1.6931
-4.6939 -0.1233 0.5709
-4.1018 2.3428 -0.8706
-4.1525 -1.2527 -2.0638